# Cu2PbBr2 (GGA-PBEsol, relaxed)
# Total magnetic moment (μB/cell): 0.000
# Total DFT energy (no corrections) (eV/atom): -3.23
data_Cu2PbBr2
_space_group_name_H-M_alt 'I 4/m m m'
_space_group_IT_number 139
_space_group_name_Hall '-I 4 2'
_cell_length_a 3.549
_cell_length_b 3.549
_cell_length_c 18.172
_cell_angle_alpha 90.00
_cell_angle_beta 90.00
_cell_angle_gamma 90.00
loop_
_atom_site_label
_atom_site_type_symbol
_atom_site_fract_x
_atom_site_fract_y
_atom_site_fract_z
Cu1 Cu 0.000 0.500 0.250
Pb1 Pb 0.000 0.000 0.000
Br1 Br 0.000 0.000 0.350